VASP calculation (GGA+U) on an optimized crystal structure of Li3Mn2O4.

POSCAR file:
```
Li3Mn2O4
1.0
4.218 -4.241 0.000
4.218 4.241 0.000
-4.203 0.000 4.757
Li Mn O
6 4 8
Direct
0.000 0.000 0.000
0.000 0.000 0.500
0.000 0.500 0.500
0.135 0.865 0.750
0.500 0.000 0.000
0.865 0.135 0.250
0.000 0.500 0.000
0.500 0.000 0.500
0.500 0.500 0.000
0.500 0.500 0.500
0.241 0.252 0.466
0.252 0.241 0.966
0.262 0.731 0.503
0.269 0.738 0.997
0.731 0.262 0.003
0.738 0.269 0.497
0.748 0.759 0.034
0.759 0.748 0.534
```

total moment	9.000	μB/f.u.
total energy	-109.74	eV for the cell shown
crystal system	monoclinic
offset from the most stable computed form	7.0	kJ/mol of atoms
D(E_F)	0.2	states/eV/f.u.